No. 1
Density functional theory data (PBE-GGA) for an optimized crystal structure of Cd5Pb3F12.

## Properties
Calculated density   6.346 g/cm³
Electronic total energy   -302.0 eV for the cell shown
Energy relative to the elements, uncorrected   -180 kJ per mole of atoms
Space group   No. 230

Cell: 12.4272 12.4272 12.4272 Å, 109.47 109.47 109.47°
Fractional coordinates of all 80 atoms:
Cd (0.0000, 0.0000, 0.0000)
Cd (0.0000, 0.0000, 0.5000)
Cd (0.0000, 0.5000, 0.0000)
Cd (0.0000, 0.5000, 0.5000)
Cd (0.1250, 0.7500, 0.8750)
Cd (0.1250, 0.8750, 0.2500)
Cd (0.2500, 0.1250, 0.8750)
Cd (0.2500, 0.6250, 0.3750)
Cd (0.3750, 0.2500, 0.6250)
Cd (0.3750, 0.6250, 0.7500)
Cd (0.5000, 0.0000, 0.0000)
Cd (0.5000, 0.0000, 0.5000)
Cd (0.5000, 0.5000, 0.0000)
Cd (0.5000, 0.5000, 0.5000)
Cd (0.6250, 0.3750, 0.2500)
Cd (0.6250, 0.7500, 0.3750)
Cd (0.7500, 0.3750, 0.6250)
Cd (0.7500, 0.8750, 0.1250)
Cd (0.8750, 0.1250, 0.7500)
Cd (0.8750, 0.2500, 0.1250)
Pb (0.1250, 0.2500, 0.3750)
Pb (0.1250, 0.3750, 0.7500)
Pb (0.2500, 0.3750, 0.1250)
Pb (0.2500, 0.8750, 0.6250)
Pb (0.3750, 0.1250, 0.2500)
Pb (0.3750, 0.7500, 0.1250)
Pb (0.6250, 0.2500, 0.8750)
Pb (0.6250, 0.8750, 0.7500)
Pb (0.7500, 0.1250, 0.3750)
Pb (0.7500, 0.6250, 0.8750)
Pb (0.8750, 0.6250, 0.2500)
Pb (0.8750, 0.7500, 0.6250)
F (0.0504, 0.2137, 0.1249)
F (0.0504, 0.3367, 0.9256)
F (0.0744, 0.6249, 0.4112)
F (0.0744, 0.9496, 0.6633)
F (0.0888, 0.7137, 0.6633)
F (0.0888, 0.8751, 0.4256)
F (0.1249, 0.0504, 0.2137)
F (0.1249, 0.5744, 0.9112)
F (0.1633, 0.2137, 0.5888)
F (0.1633, 0.4496, 0.5744)
F (0.2137, 0.1249, 0.0504)
F (0.2137, 0.5888, 0.1633)
F (0.2863, 0.3367, 0.9112)
F (0.2863, 0.4496, 0.3751)
F (0.3367, 0.9112, 0.2863)
F (0.3367, 0.9256, 0.0504)
F (0.3751, 0.2863, 0.4496)
F (0.3751, 0.5888, 0.9256)
F (0.4112, 0.0744, 0.6249)
F (0.4112, 0.8367, 0.7863)
F (0.4256, 0.0888, 0.8751)
F (0.4256, 0.8367, 0.5504)
F (0.4496, 0.3751, 0.2863)
F (0.4496, 0.5744, 0.1633)
F (0.5504, 0.4256, 0.8367)
F (0.5504, 0.6249, 0.7137)
F (0.5744, 0.1633, 0.4496)
F (0.5744, 0.9112, 0.1249)
F (0.5888, 0.1633, 0.2137)
F (0.5888, 0.9256, 0.3751)
F (0.6249, 0.4112, 0.0744)
F (0.6249, 0.7137, 0.5504)
F (0.6633, 0.0744, 0.9496)
F (0.6633, 0.0888, 0.7137)
F (0.7137, 0.5504, 0.6249)
F (0.7137, 0.6633, 0.0888)
F (0.7863, 0.4112, 0.8367)
F (0.7863, 0.8751, 0.9496)
F (0.8367, 0.5504, 0.4256)
F (0.8367, 0.7863, 0.4112)
F (0.8751, 0.4256, 0.0888)
F (0.8751, 0.9496, 0.7863)
F (0.9112, 0.1249, 0.5744)
F (0.9112, 0.2863, 0.3367)
F (0.9256, 0.0504, 0.3367)
F (0.9256, 0.3751, 0.5888)
F (0.9496, 0.6633, 0.0744)
F (0.9496, 0.7863, 0.8751)

***

No. 2
Density functional theory data (PBE-GGA) for an optimized crystal structure of NiIr2W2.

## Properties
Calculated density   18.519 g/cm³
Electronic total energy   -50.3 eV for the cell shown
Formation energy   -0.1739 eV per atom
Space group   No. 12

Cell: 4.6926 4.6926 6.1375 Å, 129.38 129.38 48.52°
Fractional coordinates of all 5 atoms:
Ni (0.0000, 0.0000, 0.0000)
Ir (0.2038, 0.2038, 0.7952)
Ir (0.7962, 0.7962, 0.2048)
W (0.4165, 0.4165, 0.6293)
W (0.5835, 0.5835, 0.3707)

***

No. 3
Density functional theory data (PBE-GGA) for an optimized crystal structure of PmPr2Nd2Sm.

## Properties
Calculated density   6.861 g/cm³
Electronic total energy   -56.5 eV for the cell shown
Formation energy   0.0502 eV per atom
Space group   No. 51

Cell: 7.1344 5.8362 10.0636 Å, 90.00 90.00 90.00°
Fractional coordinates of all 12 atoms:
Pm (0.0000, 0.0000, 0.0000)
Pm (0.5000, 0.0000, 0.0000)
Pr (0.0000, 0.5000, 0.5000)
Pr (0.2500, 0.0000, 0.3298)
Pr (0.5000, 0.5000, 0.5000)
Pr (0.7500, 0.0000, 0.6702)
Nd (0.2500, 0.0000, 0.6663)
Nd (0.2500, 0.5000, 0.1674)
Nd (0.7500, 0.0000, 0.3337)
Nd (0.7500, 0.5000, 0.8326)
Sm (0.2500, 0.5000, 0.8352)
Sm (0.7500, 0.5000, 0.1648)